(1)
This record from Alexandria describes a geometry-optimized KLi2Zn structure. The functional is PBE-GGA.

energy of formation from the pure elements: 0.08 eV per atom
SG: No. 10

a = 3.355 Å, b = 3.670 Å, c = 8.607 Å
α = 90.00°, β = 90.13°, γ = 90.00°
Fractional positions:
K1 0.000 0.000 0.000
Li1 0.499 0.500 0.343
Li2 0.501 0.500 0.657
Zn1 0.000 0.000 0.500

=====

(2)
This record from Alexandria describes a geometry-optimized CuWSe structure. The functional is PBE-GGA.

excess energy over the best structure of this formula in the dataset: 109.1 meV per atom
SG: No. 8

a = 4.840 Å, b = 4.840 Å, c = 6.785 Å
α = 96.68°, β = 96.68°, γ = 40.34°
Fractional positions:
Cu1 0.000 0.000 0.000
Cu2 0.533 0.533 0.738
W1 0.270 0.270 0.882
W2 0.729 0.729 0.165
Se1 0.448 0.448 0.273
Se2 0.753 0.753 0.580

=====

(3)
This record from Alexandria describes a geometry-optimized Sm5CdTe4 structure. The functional is PBE-GGA.

total DFT energy (no corrections): -4.8814 eV per atom
SG: No. 87

a = 7.691 Å, b = 7.691 Å, c = 7.691 Å
α = 99.61°, β = 99.61°, γ = 131.78°
Fractional positions:
Sm1 0.000 0.000 0.000
Sm2 0.203 0.600 0.803
Sm3 0.400 0.203 0.604
Sm4 0.600 0.797 0.396
Sm5 0.797 0.400 0.197
Cd1 0.500 0.500 0.000
Te1 0.097 0.302 0.399
Te2 0.302 0.903 0.204
Te3 0.698 0.097 0.796
Te4 0.903 0.698 0.601

=====

(4)
This record from Alexandria describes a geometry-optimized LiPaGe2Pt2 structure. The functional is PBE-GGA.

energy of formation from the pure elements: -0.78 eV per atom
SG: No. 164

a = 4.352 Å, b = 4.352 Å, c = 6.477 Å
α = 90.00°, β = 90.00°, γ = 120.00°
Fractional positions:
Li1 0.000 0.000 0.000
Pa1 0.000 0.000 0.500
Ge1 0.333 0.667 0.804
Ge2 0.667 0.333 0.196
Pt1 0.333 0.667 0.230
Pt2 0.667 0.333 0.770

=====

(5)
This record from Alexandria describes a geometry-optimized K2Sn3Hg2 structure. The functional is PBE-GGA.

energy of formation from the pure elements: -0.14 eV per atom
SG: No. 12

a = 6.762 Å, b = 6.762 Å, c = 7.848 Å
α = 114.61°, β = 114.61°, γ = 43.75°
Fractional positions:
K1 0.155 0.155 0.295
K2 0.845 0.845 0.705
Sn1 0.406 0.406 0.066
Sn2 0.500 0.500 0.500
Sn3 0.594 0.594 0.934
Hg1 0.151 0.151 0.756
Hg2 0.849 0.849 0.244

=====

(6)
This record from Alexandria describes a geometry-optimized CaGe2TeS structure. The functional is PBE-GGA.

total DFT energy (no corrections): -3.1473 eV per atom
SG: No. 123

a = 5.715 Å, b = 5.715 Å, c = 4.873 Å
α = 90.00°, β = 90.00°, γ = 90.00°
Fractional positions:
Ca1 0.000 0.000 0.000
Ge1 0.000 0.500 0.000
Ge2 0.500 0.000 0.000
Te1 0.500 0.500 0.500
S1 0.000 0.000 0.500

=====

(7)
This record from Alexandria describes a geometry-optimized InPd2Br structure. The functional is PBE-GGA.

excess energy over the best structure of this formula in the dataset: 0.0 meV per atom
SG: No. 225

a = 4.744 Å, b = 4.744 Å, c = 4.744 Å
α = 60.00°, β = 60.00°, γ = 60.00°
Fractional positions:
In1 0.000 0.000 0.000
Pd1 0.250 0.250 0.250
Pd2 0.750 0.750 0.750
Br1 0.500 0.500 0.500

=====

(8)
This record from Alexandria describes a geometry-optimized Te2SeI2 structure. The functional is PBE-GGA.

excess energy over the best structure of this formula in the dataset: 86.3 meV per atom
SG: No. 127

a = 8.124 Å, b = 8.124 Å, c = 5.702 Å
α = 90.00°, β = 90.00°, γ = 90.00°
Fractional positions:
Te1 0.249 0.251 0.000
Te2 0.251 0.751 0.000
Te3 0.749 0.249 0.000
Te4 0.751 0.749 0.000
Se1 0.000 0.000 0.000
Se2 0.500 0.500 0.000
I1 0.178 0.322 0.500
I2 0.322 0.822 0.500
I3 0.678 0.178 0.500
I4 0.822 0.678 0.500

=====

(9)
This record from Alexandria describes a geometry-optimized K2Hf2Zn structure. The functional is PBE-GGA.

excess energy over the best structure of this formula in the dataset: 0.0 meV per atom
energy of formation from the pure elements: 0.73 eV per atom
SG: No. 139

a = 11.918 Å, b = 11.918 Å, c = 11.918 Å
α = 160.93°, β = 160.93°, γ = 27.10°
Fractional positions:
K1 0.102 0.102 0.000
K2 0.898 0.898 0.000
Hf1 0.250 0.750 0.500
Hf2 0.750 0.250 0.500
Zn1 0.500 0.500 0.000

=====

(10)
This record from Alexandria describes a geometry-optimized Tm3Ni2Ir7 structure. The functional is PBE-GGA.

energy of formation from the pure elements: -0.63 eV per atom
SG: No. 166

a = 8.966 Å, b = 8.966 Å, c = 8.966 Å
α = 34.13°, β = 34.13°, γ = 34.13°
Fractional positions:
Tm1 0.000 0.000 0.000
Tm2 0.140 0.140 0.140
Tm3 0.860 0.860 0.860
Ni1 0.334 0.334 0.334
Ni2 0.666 0.666 0.666
Ir1 0.078 0.582 0.582
Ir2 0.418 0.418 0.922
Ir3 0.418 0.922 0.418
Ir4 0.500 0.500 0.500
Ir5 0.582 0.078 0.582
Ir6 0.582 0.582 0.078
Ir7 0.922 0.418 0.418

=====

(11)
This record from Alexandria describes a geometry-optimized Ce4HoSc3Se8 structure. The functional is PBE-GGA.

total DFT energy (no corrections): -6.4173 eV per atom
SG: No. 166

a = 8.212 Å, b = 8.212 Å, c = 8.212 Å
α = 58.67°, β = 58.67°, γ = 58.67°
Fractional positions:
Ce1 0.000 0.000 0.000
Ce2 0.000 0.500 0.500
Ce3 0.500 0.000 0.500
Ce4 0.500 0.500 0.000
Ho1 0.500 0.500 0.500
Sc1 0.000 0.000 0.500
Sc2 0.000 0.500 0.000
Sc3 0.500 0.000 0.000
Se1 0.236 0.746 0.746
Se2 0.241 0.241 0.241
Se3 0.254 0.254 0.764
Se4 0.254 0.764 0.254
Se5 0.746 0.236 0.746
Se6 0.746 0.746 0.236
Se7 0.759 0.759 0.759
Se8 0.764 0.254 0.254

=====

(12)
This record from Alexandria describes a geometry-optimized MgTlW2 structure. The functional is PBE-GGA.

excess energy over the best structure of this formula in the dataset: 225.1 meV per atom
energy of formation from the pure elements: 0.69 eV per atom
SG: No. 12

a = 5.423 Å, b = 5.423 Å, c = 4.457 Å
α = 110.77°, β = 110.77°, γ = 36.42°
Fractional positions:
Mg1 0.000 0.000 0.000
Tl1 0.500 0.500 0.500
W1 0.250 0.250 0.765
W2 0.750 0.750 0.235

=====

(13)
This record from Alexandria describes a geometry-optimized MgSi structure. The functional is PBE-GGA.

total DFT energy (no corrections): -3.2072 eV per atom
SG: No. 70

a = 6.967 Å, b = 6.895 Å, c = 5.651 Å
α = 66.61°, β = 65.28°, γ = 48.11°
Fractional positions:
Mg1 0.061 0.689 0.061
Mg2 0.311 0.939 0.311
Mg3 0.689 0.061 0.689
Mg4 0.939 0.311 0.939
Si1 0.271 0.271 0.479
Si2 0.479 0.479 0.271
Si3 0.521 0.521 0.729
Si4 0.729 0.729 0.521

=====

(14)
This record from Alexandria describes a geometry-optimized Zr3CdC structure. The functional is PBE-GGA.

excess energy over the best structure of this formula in the dataset: 296.3 meV per atom
energy of formation from the pure elements: -0.13 eV per atom
SG: No. 64

a = 8.228 Å, b = 8.228 Å, c = 5.870 Å
α = 90.00°, β = 90.00°, γ = 106.83°
Fractional positions:
Zr1 0.047 0.953 0.764
Zr2 0.150 0.350 0.750
Zr3 0.227 0.773 0.459
Zr4 0.273 0.727 0.959
Zr5 0.350 0.150 0.250
Zr6 0.453 0.547 0.264
Zr7 0.547 0.453 0.736
Zr8 0.650 0.850 0.750
Zr9 0.727 0.273 0.041
Zr10 0.773 0.227 0.541
Zr11 0.850 0.650 0.250
Zr12 0.953 0.047 0.236
Cd1 0.083 0.417 0.250
Cd2 0.417 0.083 0.750
Cd3 0.583 0.917 0.250
Cd4 0.917 0.583 0.750
C1 0.115 0.885 0.131
C2 0.385 0.615 0.631
C3 0.615 0.385 0.369
C4 0.885 0.115 0.869

=====

(15)
This record from Alexandria describes a geometry-optimized Zr2AlCu4 structure. The functional is PBE-GGA.

excess energy over the best structure of this formula in the dataset: 381.8 meV per atom
energy of formation from the pure elements: 0.23 eV per atom
SG: No. 186

a = 2.836 Å, b = 2.836 Å, c = 32.992 Å
α = 90.00°, β = 90.00°, γ = 120.00°
Fractional positions:
Zr1 0.333 0.667 0.000
Zr2 0.333 0.667 0.341
Zr3 0.667 0.333 0.500
Zr4 0.667 0.333 0.841
Al1 0.000 0.000 0.149
Al2 0.000 0.000 0.649
Cu1 0.000 0.000 0.073
Cu2 0.000 0.000 0.269
Cu3 0.000 0.000 0.573
Cu4 0.000 0.000 0.769
Cu5 0.333 0.667 0.209
Cu6 0.333 0.667 0.426
Cu7 0.667 0.333 0.709
Cu8 0.667 0.333 0.926

=====

(16)
This record from Alexandria describes a geometry-optimized PrPt3 structure. The functional is PBE-GGA.

energy of formation from the pure elements: -0.82 eV per atom
SG: No. 221

a = 4.218 Å, b = 4.218 Å, c = 4.218 Å
α = 90.00°, β = 90.00°, γ = 90.00°
Fractional positions:
Pr1 0.000 0.000 0.000
Pt1 0.000 0.500 0.500
Pt2 0.500 0.000 0.500
Pt3 0.500 0.500 0.000

=====

(17)
This record from Alexandria describes a geometry-optimized Tb2ScGa structure. The functional is PBE-GGA.

excess energy over the best structure of this formula in the dataset: 0.0 meV per atom
energy of formation from the pure elements: -0.25 eV per atom
SG: No. 123

a = 4.653 Å, b = 4.653 Å, c = 4.572 Å
α = 90.00°, β = 90.00°, γ = 90.00°
Fractional positions:
Tb1 0.000 0.500 0.000
Tb2 0.500 0.000 0.000
Sc1 0.000 0.000 0.500
Ga1 0.500 0.500 0.500

=====

(18)
This record from Alexandria describes a geometry-optimized GdLuMgAl structure. The functional is PBE-GGA.

energy of formation from the pure elements: -0.26 eV per atom
SG: No. 216

a = 5.170 Å, b = 5.170 Å, c = 5.170 Å
α = 60.00°, β = 60.00°, γ = 60.00°
Fractional positions:
Gd1 0.000 0.000 0.000
Lu1 0.500 0.500 0.500
Mg1 0.250 0.250 0.250
Al1 0.750 0.750 0.750

=====

(19)
This record from Alexandria describes a geometry-optimized CrPtW2 structure. The functional is PBE-GGA.

excess energy over the best structure of this formula in the dataset: 319.3 meV per atom
energy of formation from the pure elements: 0.32 eV per atom
SG: No. 225

a = 4.411 Å, b = 4.411 Å, c = 4.411 Å
α = 60.00°, β = 60.00°, γ = 60.00°
Fractional positions:
Cr1 0.000 0.000 0.000
Pt1 0.500 0.500 0.500
W1 0.250 0.250 0.250
W2 0.750 0.750 0.750

=====

(20)
This record from Alexandria describes a geometry-optimized AlCrCo2 structure. The functional is PBE-GGA.

energy of formation from the pure elements: 0.37 eV per atom
SG: No. 122

a = 5.161 Å, b = 5.161 Å, c = 5.161 Å
α = 103.91°, β = 103.91°, γ = 121.27°
Fractional positions:
Al1 0.000 0.000 0.000
Al2 0.750 0.250 0.500
Cr1 0.250 0.750 0.500
Cr2 0.500 0.500 0.000
Co1 0.162 0.625 0.037
Co2 0.375 0.412 0.537
Co3 0.588 0.125 0.963
Co4 0.875 0.838 0.463